[1]
Entry from Alexandria via LeMat-Bulk: a relaxed Pr12AlCo5 crystal (GGA-PBE).

Cell and atoms, written as POSCAR:
```
Pr12AlCo5
1.0
1.147 -7.420 -4.259
7.437 2.440 3.640
-5.871 -0.972 6.252
Co Pr Al
5 12 1
direct
0.500 0.888 0.388
0.500 0.112 0.612
0.620 0.620 0.000
0.000 0.000 0.000
0.380 0.380 0.000
0.114 0.813 0.301
0.488 0.187 0.301
0.189 0.988 0.799
0.305 0.682 0.987
0.811 0.012 0.201
0.189 0.390 0.201
0.811 0.610 0.799
0.695 0.682 0.377
0.305 0.318 0.623
0.512 0.813 0.699
0.886 0.187 0.699
0.695 0.318 0.013
0.000 0.500 0.500
```

Summary:
Uncorrected energy, eV per cell: -98.03
N(E_F), states/eV/cell: 16.1


[2]
Entry from Alexandria via LeMat-Bulk: a relaxed Cr3IrRu crystal (GGA-PBE).

Cell and atoms, written as POSCAR:
```
Cr3IrRu
1.0
4.425 0.000 0.000
0.000 4.425 0.000
0.000 0.000 4.425
Ir Cr Ru
1 3 1
direct
0.000 0.000 0.000
0.000 0.500 0.000
0.500 0.000 0.000
0.000 0.000 0.500
0.500 0.500 0.500
```

Summary:
Uncorrected energy, eV per cell: -38.32
Energy above the most stable polymorph in this dataset, meV per atom: 121.2
N(E_F), states/eV/cell: 10.3


[3]
Entry from Alexandria via LeMat-Bulk: a relaxed LiHS crystal (GGA-PBE).

Cell and atoms, written as POSCAR:
```
LiHS
1.0
-0.383 0.936 3.505
3.237 -1.504 0.755
0.392 3.825 -2.877
S H Li
1 1 1
direct
0.395 0.395 0.789
0.562 0.562 0.123
0.894 0.894 0.788
```

Summary:
Uncorrected energy, eV per cell: -11.39
Energy above the most stable polymorph in this dataset, meV per atom: 115.3
N(E_F), states/eV/cell: 0.0


[4]
Entry from Alexandria via LeMat-Bulk: a relaxed TcRh2 crystal (GGA-PBE).

Cell and atoms, written as POSCAR:
```
TcRh2
1.0
6.096 0.004 0.000
4.879 3.654 0.000
-5.487 -1.829 1.924
Tc Rh
1 2
direct
0.333 0.333 0.000
0.671 0.671 0.000
0.995 0.995 0.000
```

Summary:
Uncorrected energy, eV per cell: -25.37
Energy above the most stable polymorph in this dataset, meV per atom: 43.7
N(E_F), states/eV/cell: 3.1